First-principles (PBE) data for a geometry-optimized Y12Tm5Tl2 structure, as listed in the Alexandria database.

M_tot = 0.00 μB per cell
ΔH_f (0 K) = 0.021 eV/atom

abc: 8.981 8.981 8.274
angles: 91.14 91.14 63.23
Positions (direct):
Y (0.052, 0.052, 0.317)
Y (0.074, 0.677, 0.346)
Y (0.163, 0.533, 0.766)
Y (0.323, 0.926, 0.654)
Y (0.413, 0.413, 0.117)
Y (0.467, 0.837, 0.234)
Y (0.533, 0.163, 0.766)
Y (0.587, 0.587, 0.883)
Y (0.677, 0.074, 0.346)
Y (0.837, 0.467, 0.234)
Y (0.926, 0.323, 0.654)
Y (0.948, 0.948, 0.683)
Tm (0.186, 0.186, 0.002)
Tm (0.264, 0.264, 0.417)
Tm (0.500, 0.500, 0.500)
Tm (0.736, 0.736, 0.583)
Tm (0.814, 0.814, 0.998)
Tl (0.190, 0.810, 0.000)
Tl (0.810, 0.190, 0.000)


First-principles (PBE) data for a geometry-optimized NiHgBPC structure, as listed in the Alexandria database.

M_tot = 0.00 μB per cell
ΔH_f (0 K) = 0.275 eV/atom

abc: 3.095 3.095 7.942
angles: 90.00 90.00 120.00
Positions (direct):
Ni (0.000, 0.000, 0.000)
Hg (0.333, 0.667, 0.718)
B (0.667, 0.333, 0.302)
P (0.333, 0.667, 0.390)
C (0.667, 0.333, 0.104)


First-principles (PBE) data for a geometry-optimized Co2PbSe structure, as listed in the Alexandria database.

M_tot = 2.39 μB per cell
E_form (uncorrected) = 454 meV/atom

abc: 4.782 4.782 4.782
angles: 133.31 111.11 87.36
Positions (direct):
Co (0.194, 0.194, 0.000)
Co (0.806, 0.806, 0.000)
Pb (0.500, 0.000, 0.500)
Se (0.000, 0.500, 0.500)


First-principles (PBE) data for a geometry-optimized NaIrAu2N structure, as listed in the Alexandria database.

M_tot = 3.25 μB per cell
E_form (uncorrected) = 2580 meV/atom

abc: 4.917 4.917 4.873
angles: 90.00 90.00 90.00
Positions (direct):
Na (0.000, 0.000, 0.000)
Ir (0.000, 0.000, 0.500)
Au (0.000, 0.500, 0.000)
Au (0.500, 0.000, 0.000)
N (0.500, 0.500, 0.500)


First-principles (PBE) data for a geometry-optimized AlTeSe2 structure, as listed in the Alexandria database.

M_tot = 0.00 μB per cell
E_form (uncorrected) = -42 meV/atom

abc: 5.026 5.026 4.992
angles: 109.93 109.93 108.68
Positions (direct):
Al (0.000, 0.000, 0.000)
Te (0.500, 0.500, 0.000)
Se (0.000, 0.500, 0.500)
Se (0.500, 0.000, 0.500)


First-principles (PBE) data for a geometry-optimized Y10Sn3Pb3 structure, as listed in the Alexandria database.

M_tot = 0.00 μB per cell
ΔH_f (0 K) = -0.681 eV/atom

abc: 9.020 9.020 6.613
angles: 90.00 90.00 120.00
Positions (direct):
Y (0.000, 0.238, 0.000)
Y (0.000, 0.762, 0.500)
Y (0.238, 0.000, 0.000)
Y (0.238, 0.238, 0.500)
Y (0.333, 0.667, 0.247)
Y (0.333, 0.667, 0.753)
Y (0.667, 0.333, 0.247)
Y (0.667, 0.333, 0.753)
Y (0.762, 0.000, 0.500)
Y (0.762, 0.762, 0.000)
Sn (0.000, 0.606, 0.000)
Sn (0.394, 0.394, 0.000)
Sn (0.606, 0.000, 0.000)
Pb (0.000, 0.395, 0.500)
Pb (0.395, 0.000, 0.500)
Pb (0.605, 0.605, 0.500)


First-principles (PBE) data for a geometry-optimized Ca2PrAg6 structure, as listed in the Alexandria database.

M_tot = 0.00 μB per cell
ΔH_f (0 K) = -0.205 eV/atom

abc: 8.548 8.548 8.548
angles: 155.26 123.40 62.70
Positions (direct):
Ca (0.141, 0.141, 0.000)
Ca (0.859, 0.859, 0.000)
Pr (0.500, 0.000, 0.500)
Ag (0.144, 0.324, 0.821)
Ag (0.177, 0.500, 0.677)
Ag (0.497, 0.676, 0.821)
Ag (0.503, 0.324, 0.179)
Ag (0.823, 0.500, 0.323)
Ag (0.856, 0.676, 0.179)


First-principles (PBE) data for a geometry-optimized CaFeOs structure, as listed in the Alexandria database.

M_tot = 0.00 μB per cell
ΔH_f (0 K) = 0.261 eV/atom

abc: 7.080 4.174 7.182
angles: 90.00 90.00 90.00
Positions (direct):
Ca (0.005, 0.250, 0.175)
Ca (0.495, 0.750, 0.675)
Ca (0.505, 0.250, 0.325)
Ca (0.995, 0.750, 0.825)
Fe (0.168, 0.750, 0.413)
Fe (0.332, 0.250, 0.913)
Fe (0.668, 0.750, 0.087)
Fe (0.832, 0.250, 0.587)
Os (0.157, 0.250, 0.578)
Os (0.343, 0.750, 0.078)
Os (0.657, 0.250, 0.922)
Os (0.843, 0.750, 0.422)


Number 1: density 6.47 g cm⁻³. Number 2: density 7.89 g cm⁻³. Number 3: density 9.46 g cm⁻³. Number 4: density 8.78 g cm⁻³. Number 5: density 5.36 g cm⁻³. Number 6: density 6.65 g cm⁻³. Number 7: density 6.65 g cm⁻³. Number 8: density 8.96 g cm⁻³.